An optimized crystal structure of ScRuW2, computed with PBE-GGA.

Cell: 4.4920 4.4920 4.4920 Å, 60.00 60.00 60.00°
Fractional coordinates of all 4 atoms:
Sc1 0.0000 0.0000 0.0000
W1 0.2500 0.2500 0.2500
Ru1 0.5000 0.5000 0.5000
W2 0.7500 0.7500 0.7500

Summary:
ΔH_f (0 K) in eV/f.u.: 1.043
D(E_F) in states/eV/f.u.: 1.99
Total DFT energy (no corrections) in eV/atom: -10.12
Polymorph energy (0 for the lowest one) in eV/f.u.: 1.25
Total moment in μB/f.u.: 0.00
Space group: Fm-3m